# 1
The following is a DFT calculation (PBE) of NbInS2Cl after structural relaxation.

Values from the calculation:
raw formation energy = -630 meV/atom
Fermi-level density of states = 2.10 states/eV/cell
ΔE to the lowest computed polymorph = 0 meV per atom

POSCAR file:
```
NbInS2Cl
1.0
4.932 0.000 0.000
0.000 4.932 0.000
0.000 0.000 5.151
Nb S Cl In
1 2 1 1
Cartesian
0.000 0.000 0.000
0.000 2.466 0.000
2.466 0.000 0.000
0.000 0.000 2.576
2.466 2.466 2.576
```

# 2
The following is a DFT calculation (PBE) of NdSmErTm3 after structural relaxation.

Values from the calculation:
Fermi-level density of states = 25.13 states/eV/cell
total energy = -4.462 eV per atom

POSCAR file:
```
NdSmErTm3
1.0
5.807 0.000 0.000
-2.904 5.653 0.000
0.000 0.000 11.629
Er Sm Tm Nd
2 2 6 2
Cartesian
2.904 3.683 8.722
0.000 1.970 2.907
2.904 0.024 8.722
0.000 5.629 2.907
2.904 1.947 0.023
2.904 3.708 2.907
0.000 3.705 11.607
0.000 1.944 8.722
0.000 3.705 5.837
2.904 1.947 5.792
0.000 0.000 0.000
0.000 0.000 5.815
```

# 3
The following is a DFT calculation (PBE) of Dy3In3Ag2 after structural relaxation.

Values from the calculation:
Fermi-level density of states = 4.75 states/eV/cell
total energy = -3.864 eV per atom

POSCAR file:
```
Dy3In3Ag2
1.0
-0.352 2.513 2.796
-5.049 -4.725 3.610
7.636 -0.584 1.487
Ag Dy In
2 3 3
Cartesian
-0.821 -3.345 2.902
3.407 -1.965 2.194
0.865 -0.880 3.449
4.387 0.907 2.286
-3.193 -1.567 3.555
1.824 -0.140 0.355
-1.206 -1.129 0.863
1.968 -4.041 3.879
```

# 4
The following is a DFT calculation (PBE) of ZnIn2Pb2 after structural relaxation.

Values from the calculation:
Fermi-level density of states = 1.95 states/eV/cell
ΔE to the lowest computed polymorph = 95 meV per atom

POSCAR file:
```
ZnIn2Pb2
1.0
4.202 0.000 0.000
0.000 4.202 0.000
2.101 2.101 8.373
In Pb Zn
2 2 1
Cartesian
4.202 2.101 4.187
2.101 4.202 4.187
4.202 4.202 6.726
2.101 2.101 1.647
0.000 0.000 0.000
```